(1)
# NaTlIr, relaxed, DFT PBE
data_NaTlIr
_cell_length_a 6.404
_cell_length_b 6.404
_cell_length_c 6.404
_cell_angle_alpha 90.00
_cell_angle_beta 90.00
_cell_angle_gamma 90.00
_space_group_name_H-M_alt 'F -4 3 m'
_space_group_IT_number 216
_space_group_name_Hall 'F -4 2 3'
loop_
_atom_site_label
_atom_site_fract_x
_atom_site_fract_y
_atom_site_fract_z
_atom_site_occupancy
Na1 0.000 0.000 0.000 1
Tl1 0.250 0.250 0.250 1
Ir1 0.250 0.250 0.750 1
# Mass density: 10.61 g cm⁻³
# Uncorrected energy: -3.196 eV/atom


(2)
# Er2Cu4Ni3, relaxed, DFT PBE
data_Er2Cu4Ni3
_cell_length_a 4.852
_cell_length_b 8.563
_cell_length_c 12.506
_cell_angle_alpha 90.00
_cell_angle_beta 90.00
_cell_angle_gamma 90.00
_space_group_name_H-M_alt 'F m m m'
_space_group_IT_number 69
_space_group_name_Hall '-F 2 2'
loop_
_atom_site_label
_atom_site_fract_x
_atom_site_fract_y
_atom_site_fract_z
_atom_site_occupancy
Er1 0.000 0.000 0.130 1
Cu1 0.000 0.168 0.332 1
Ni1 0.000 0.000 0.500 1
Ni2 0.250 0.250 0.000 1
# Calculated formation energy: -7.8 kcal/mol of atoms
# Mass density: 9.78 g cm⁻³


(3)
# InAgW, relaxed, DFT PBE
data_InAgW
_cell_length_a 6.437
_cell_length_b 6.437
_cell_length_c 6.437
_cell_angle_alpha 90.00
_cell_angle_beta 90.00
_cell_angle_gamma 90.00
_space_group_name_H-M_alt 'F -4 3 m'
_space_group_IT_number 216
_space_group_name_Hall 'F -4 2 3'
loop_
_atom_site_label
_atom_site_fract_x
_atom_site_fract_y
_atom_site_fract_z
_atom_site_occupancy
In1 0.000 0.000 0.000 1
Ag1 0.000 0.000 0.500 1
W1 0.250 0.250 0.750 1
# Excess energy over the best structure of this formula in the dataset: 0 meV per atom
# Mass density: 10.12 g cm⁻³


(4)
# BaZn, relaxed, DFT PBE
data_BaZn
_cell_length_a 4.627
_cell_length_b 22.272
_cell_length_c 6.793
_cell_angle_alpha 90.00
_cell_angle_beta 90.00
_cell_angle_gamma 90.00
_space_group_name_H-M_alt 'A m m 2'
_space_group_IT_number 38
_space_group_name_Hall 'A 2 -2'
loop_
_atom_site_label
_atom_site_fract_x
_atom_site_fract_y
_atom_site_fract_z
_atom_site_occupancy
Ba1 0.000 0.000 0.000 1
Ba2 0.000 0.189 0.261 1
Ba3 0.500 0.142 0.770 1
Zn1 0.000 0.059 0.501 1
Zn2 0.500 0.000 0.580 1
Zn3 0.500 0.077 0.283 1
# Mass density: 4.81 g cm⁻³
# Uncorrected energy: -1.718 eV/atom


(5)
# HoTm2Al3Si2Pd, relaxed, DFT PBE
data_HoTm2Al3Si2Pd
_cell_length_a 4.222
_cell_length_b 11.836
_cell_length_c 6.826
_cell_angle_alpha 90.00
_cell_angle_beta 90.00
_cell_angle_gamma 90.00
_space_group_name_H-M_alt 'A m m 2'
_space_group_IT_number 38
_space_group_name_Hall 'A 2 -2'
loop_
_atom_site_label
_atom_site_fract_x
_atom_site_fract_y
_atom_site_fract_z
_atom_site_occupancy
Ho1 0.000 0.000 0.000 1
Tm1 0.000 0.209 0.373 1
Al1 0.500 0.000 0.342 1
Al2 0.500 0.120 0.701 1
Si1 0.500 0.168 0.082 1
Pd1 0.000 0.000 0.579 1
# Mass density: 7.27 g cm⁻³
# Uncorrected energy: -5.328 eV/atom


(6)
# NpIn2Cl6, relaxed, DFT PBE
data_NpIn2Cl6
_cell_length_a 6.945
_cell_length_b 6.945
_cell_length_c 13.345
_cell_angle_alpha 90.00
_cell_angle_beta 90.00
_cell_angle_gamma 90.00
_space_group_name_H-M_alt 'P 42/m n m'
_space_group_IT_number 136
_space_group_name_Hall '-P 4n 2n'
loop_
_atom_site_label
_atom_site_fract_x
_atom_site_fract_y
_atom_site_fract_z
_atom_site_occupancy
Np1 0.000 0.000 0.000 1
In1 0.000 0.000 0.334 1
Cl1 0.182 0.182 0.145 1
Cl2 0.235 0.235 0.500 1
# Mass density: 3.50 g cm⁻³
# Uncorrected energy: -4.585 eV/atom


(7)
# InCoRePd, relaxed, DFT PBE
data_InCoRePd
_cell_length_a 6.276
_cell_length_b 6.276
_cell_length_c 6.276
_cell_angle_alpha 90.00
_cell_angle_beta 90.00
_cell_angle_gamma 90.00
_space_group_name_H-M_alt 'F -4 3 m'
_space_group_IT_number 216
_space_group_name_Hall 'F -4 2 3'
loop_
_atom_site_label
_atom_site_fract_x
_atom_site_fract_y
_atom_site_fract_z
_atom_site_occupancy
In1 0.000 0.000 0.000 1
Co1 0.250 0.250 0.250 1
Re1 0.000 0.000 0.500 1
Pd1 0.250 0.250 0.750 1
# Excess energy over the best structure of this formula in the dataset: 0 meV per atom
# Mass density: 12.53 g cm⁻³


(8)
# Pr2NiPb, relaxed, DFT PBE
data_Pr2NiPb
_cell_length_a 4.496
_cell_length_b 4.219
_cell_length_c 11.568
_cell_angle_alpha 90.00
_cell_angle_beta 90.00
_cell_angle_gamma 90.00
_space_group_name_H-M_alt 'A m m 2'
_space_group_IT_number 38
_space_group_name_Hall 'A 2 -2'
loop_
_atom_site_label
_atom_site_fract_x
_atom_site_fract_y
_atom_site_fract_z
_atom_site_occupancy
Pr1 0.000 0.000 0.000 1
Pr2 0.500 0.000 0.293 1
Ni1 0.000 0.000 0.736 1
Pb1 0.500 0.000 0.581 1
# Mass density: 8.29 g cm⁻³
# Uncorrected energy: -5.029 eV/atom


(9)
# HoTm2Mg4Al2, relaxed, DFT PBE
data_HoTm2Mg4Al2
_cell_length_a 4.542
_cell_length_b 12.882
_cell_length_c 7.405
_cell_angle_alpha 90.00
_cell_angle_beta 90.00
_cell_angle_gamma 90.00
_space_group_name_H-M_alt 'A m m 2'
_space_group_IT_number 38
_space_group_name_Hall 'A 2 -2'
loop_
_atom_site_label
_atom_site_fract_x
_atom_site_fract_y
_atom_site_fract_z
_atom_site_occupancy
Ho1 0.000 0.000 0.000 1
Tm1 0.000 0.219 0.656 1
Mg1 0.000 0.000 0.439 1
Mg2 0.500 0.000 0.687 1
Mg3 0.500 0.125 0.313 1
Al1 0.500 0.167 0.937 1
# Mass density: 5.01 g cm⁻³
# Uncorrected energy: -3.229 eV/atom


(10)
# CsSnHg3Se4, relaxed, DFT PBE
data_CsSnHg3Se4
_cell_length_a 7.195
_cell_length_b 7.195
_cell_length_c 7.195
_cell_angle_alpha 90.00
_cell_angle_beta 90.00
_cell_angle_gamma 90.00
_space_group_name_H-M_alt 'P -4 3 m'
_space_group_IT_number 215
_space_group_name_Hall 'P -4 2 3'
loop_
_atom_site_label
_atom_site_fract_x
_atom_site_fract_y
_atom_site_fract_z
_atom_site_occupancy
Cs1 0.000 0.000 0.000 1
Sn1 0.500 0.500 0.500 1
Hg1 0.000 0.500 0.500 1
Se1 0.294 0.294 0.294 1
# Excess energy over the best structure of this formula in the dataset: 103 meV per atom
# Mass density: 5.21 g cm⁻³


What did the eighth record say?
# Pr2NiPb, relaxed, DFT PBE
data_Pr2NiPb
_cell_length_a 4.496
_cell_length_b 4.219
_cell_length_c 11.568
_cell_angle_alpha 90.00
_cell_angle_beta 90.00
_cell_angle_gamma 90.00
_space_group_name_H-M_alt 'A m m 2'
_space_group_IT_number 38
_space_group_name_Hall 'A 2 -2'
loop_
_atom_site_label
_atom_site_fract_x
_atom_site_fract_y
_atom_site_fract_z
_atom_site_occupancy
Pr1 0.000 0.000 0.000 1
Pr2 0.500 0.000 0.293 1
Ni1 0.000 0.000 0.736 1
Pb1 0.500 0.000 0.581 1
# Mass density: 8.29 g cm⁻³
# Uncorrected energy: -5.029 eV/atom